GGA-PBE ScSbTe, optimized geometry; magnetization = 0.0 μB/cell; E_tot = -4.627 eV/atom
1.0
0.0000 3.5571 3.5571
3.5571 0.0000 3.5571
3.5571 3.5571 0.0000
Sc Sb Te
1 1 1
Cartesian
0.0000 0.0000 0.0000
3.5571 3.5571 3.5571
1.7786 1.7786 1.7786